Entry 1:
Crystalline GaPd3Au2 at its relaxed geometry, computed with PBE-GGA.

Summary:
The calculation puts the formation energy from the elements at -0.253 eV per atom. For the total magnetic moment, the calculation gives 0.0 μB per formula unit. The excess energy over the best structure of this formula in the dataset comes out at 0.093 eV per atom.

Cell lengths 5.1014, 5.1014, 8.8067 Å; angles 95.55, 95.55, 119.38 degrees
Last column: nearest neighbours and their distance in Å.
Positions (direct):
Ga 0.1680 0.8320 0.0000  6 Pd 2.61, 1 Au 2.92
Ga 0.8320 0.1680 0.0000  6 Pd 2.61, 1 Au 2.92
Pd 0.0702 0.4205 0.7664  2 Ga 2.61, 4 Au 2.70-2.90, 4 Pd 2.87-2.89
Pd 0.2266 0.2266 0.2327  2 Ga 2.61, 4 Au 2.70-2.89, 4 Pd 2.87-2.88
Pd 0.4205 0.0702 0.7664  2 Ga 2.61, 4 Au 2.70-2.90, 4 Pd 2.87-2.89
Pd 0.5795 0.9298 0.2336  2 Ga 2.61, 4 Au 2.70-2.90, 4 Pd 2.87-2.89
Pd 0.7734 0.7734 0.7673  2 Ga 2.61, 4 Au 2.70-2.89, 4 Pd 2.87-2.88
Pd 0.9298 0.5795 0.2336  2 Ga 2.61, 4 Au 2.70-2.90, 4 Pd 2.87-2.89
Au 0.0000 0.0000 0.5000  6 Pd 2.82-2.89, 6 Au 2.95-2.96
Au 0.3359 0.6641 0.5000  6 Pd 2.82-2.90, 6 Au 2.89-2.99
Au 0.5000 0.5000 0.0000  6 Pd 2.70, 6 Ga 2.92-2.97
Au 0.6641 0.3359 0.5000  6 Pd 2.82-2.90, 6 Au 2.89-2.99


Entry 2:
Crystalline Ga2PdAu3 at its relaxed geometry, computed with PBE-GGA.

Summary:
The calculation puts the formation energy from the elements at -0.208 eV per atom. For the total magnetic moment, the calculation gives 0.0 μB per formula unit. The excess energy over the best structure of this formula in the dataset comes out at 0.025 eV per atom.

Cell lengths 8.0284, 8.1938, 8.7145 Å; angles 62.32, 63.93, 61.22 degrees
Last column: nearest neighbours and their distance in Å.
Positions (direct):
Ga 0.1127 0.3191 0.2980  1 Pd 2.61, 5 Au 2.61-2.71
Ga 0.1701 0.7692 0.7790  2 Pd 2.61, 6 Au 2.64-2.87
Ga 0.2220 0.2326 0.8217  2 Pd 2.54-2.55, 4 Au 2.69-2.76
Ga 0.2262 0.8474 0.2264  2 Pd 2.58-2.74, 5 Au 2.61-2.77
Ga 0.7738 0.1526 0.7736  2 Pd 2.58-2.74, 5 Au 2.61-2.77
Ga 0.7780 0.7674 0.1783  2 Pd 2.54-2.55, 4 Au 2.69-2.76
Ga 0.8299 0.2308 0.2210  2 Pd 2.61, 6 Au 2.64-2.87
Ga 0.8873 0.6809 0.7020  1 Pd 2.61, 5 Au 2.61-2.71
Pd 0.1605 0.1314 0.6211  4 Ga 2.55-2.74, 3 Au 2.74-2.85
Pd 0.4236 0.4160 0.7876  3 Ga 2.54-2.61, 1 Au 2.85
Pd 0.5764 0.5840 0.2124  3 Ga 2.54-2.61, 1 Au 2.85
Pd 0.8395 0.8686 0.3789  4 Ga 2.55-2.74, 3 Au 2.74-2.85
Au 0.0000 0.0000 0.0000  6 Ga 2.70-2.78, 2 Pd 2.83
Au 0.0000 0.0000 0.5000  6 Ga 2.71-2.74, 2 Pd 2.74, 2 Au 3.03
Au 0.0000 0.5000 0.0000  6 Ga 2.64-2.71
Au 0.1980 0.5079 0.4660  3 Ga 2.64-2.89, 1 Pd 2.85, 1 Au 2.85
Au 0.2958 0.5808 0.0748  3 Ga 2.67-2.77, 3 Au 2.81-2.97, 1 Pd 2.95
Au 0.4384 0.7828 0.4633  3 Ga 2.64-2.94, 3 Au 2.85-2.95, 1 Pd 2.85
Au 0.4925 0.1604 0.2622  2 Ga 2.61-2.87, 1 Pd 2.89, 1 Au 2.90
Au 0.5000 0.0000 0.0000  4 Ga 2.61-2.69, 2 Pd 2.92
Au 0.5075 0.8396 0.7378  2 Ga 2.61-2.87, 1 Pd 2.89, 1 Au 2.90
Au 0.5616 0.2172 0.5367  3 Ga 2.64-2.94, 3 Au 2.85-2.95, 1 Pd 2.85
Au 0.7042 0.4192 0.9252  3 Ga 2.67-2.77, 3 Au 2.81-2.97, 1 Pd 2.95
Au 0.8020 0.4921 0.5340  3 Ga 2.64-2.89, 1 Pd 2.85, 1 Au 2.85


Entry 3:
Crystalline GaPdAu4 at its relaxed geometry, computed with PBE-GGA.

Summary:
The calculation puts the formation energy from the elements at -0.112 eV per atom. For the total magnetic moment, the calculation gives 0.0 μB per formula unit.

Cell lengths 8.3156, 8.3156, 5.5849 Å; angles 99.60, 99.60, 140.73 degrees
Last column: nearest neighbours and their distance in Å.
Positions (direct):
Ga 0.1252 0.8748 0.7500  8 Au 2.76-2.87, 2 Pd 2.79
Ga 0.8748 0.1252 0.2500  8 Au 2.76-2.87, 2 Pd 2.79
Pd 0.3751 0.6249 0.2500  2 Ga 2.79, 8 Au 2.85-2.86
Pd 0.6249 0.3751 0.7500  2 Ga 2.79, 8 Au 2.85-2.86
Au 0.0278 0.4582 0.7398  2 Ga 2.76-2.87, 7 Au 2.77-3.07, 2 Pd 2.85-2.86
Au 0.2117 0.2812 0.7388  2 Ga 2.76-2.87, 7 Au 2.77-3.09, 2 Pd 2.85-2.86
Au 0.2812 0.2117 0.2388  2 Ga 2.76-2.87, 7 Au 2.77-3.09, 2 Pd 2.85-2.86
Au 0.4582 0.0278 0.2398  2 Ga 2.76-2.87, 7 Au 2.77-3.07, 2 Pd 2.85-2.86
Au 0.5418 0.9722 0.7602  2 Ga 2.76-2.87, 7 Au 2.77-3.07, 2 Pd 2.85-2.86
Au 0.7188 0.7883 0.7612  2 Ga 2.76-2.87, 7 Au 2.77-3.09, 2 Pd 2.85-2.86
Au 0.7883 0.7188 0.2612  2 Ga 2.76-2.87, 7 Au 2.77-3.09, 2 Pd 2.85-2.86
Au 0.9722 0.5418 0.2602  2 Ga 2.76-2.87, 7 Au 2.77-3.07, 2 Pd 2.85-2.86


Entry 4:
Crystalline GaPdAu14 at its relaxed geometry, computed with PBE-GGA.

Summary:
The calculation puts the formation energy from the elements at -0.043 eV per atom. For the total magnetic moment, the calculation gives 0.0 μB per formula unit.

Cell lengths 9.5539, 5.8579, 5.8579 Å; angles 60.42, 90.00, 90.00 degrees
Last column: nearest neighbours and their distance in Å.
Positions (direct):
Ga 0.0000 0.0000 0.0000  10 Au 2.86-2.94, 2 Pd 2.95
Pd 0.0000 0.4988 0.4988  10 Au 2.87-2.94, 2 Ga 2.95
Au 0.0000 0.0001 0.5016  8 Au 2.90-2.96, 2 Pd 2.91-2.94, 2 Ga 2.92-2.94
Au 0.0000 0.5016 0.0001  8 Au 2.90-2.96, 2 Pd 2.91-2.94, 2 Ga 2.92-2.94
Au 0.2433 0.3260 0.8287  1 Ga 2.86, 1 Pd 2.87, 10 Au 2.91-2.98
Au 0.2433 0.8287 0.3260  1 Ga 2.86, 1 Pd 2.87, 10 Au 2.91-2.98
Au 0.2480 0.8288 0.8288  11 Au 2.90-2.96, 1 Ga 2.94
Au 0.2498 0.3295 0.3295  11 Au 2.91-2.95, 1 Pd 2.94
Au 0.5000 0.1592 0.1592  12 Au 2.91-2.97
Au 0.5000 0.1594 0.6623  12 Au 2.91-2.98
Au 0.5000 0.6591 0.6591  12 Au 2.92-2.98
Au 0.5000 0.6623 0.1594  12 Au 2.91-2.98
Au 0.7502 0.3295 0.3295  11 Au 2.91-2.95, 1 Pd 2.94
Au 0.7520 0.8288 0.8288  11 Au 2.90-2.96, 1 Ga 2.94
Au 0.7567 0.3260 0.8287  1 Ga 2.86, 1 Pd 2.87, 10 Au 2.91-2.98
Au 0.7567 0.8287 0.3260  1 Ga 2.86, 1 Pd 2.87, 10 Au 2.91-2.98


Entry 5:
Crystalline Ga5Pd3Au12 at its relaxed geometry, computed with PBE-GGA.

Summary:
The calculation puts the formation energy from the elements at 0.080 eV per atom. For the total magnetic moment, the calculation gives 0.0 μB per formula unit.

Cell lengths 13.1879, 13.1879, 13.1879 Å; angles 109.47, 109.47, 109.47 degrees
Last column: nearest neighbours and their distance in Å.
Positions (direct):
Ga 0.0000 0.0000 0.0000  6 Au 2.57
Ga 0.0000 0.0000 0.5000  6 Au 2.57
Ga 0.0000 0.5000 0.0000  6 Au 2.57
Ga 0.0000 0.5000 0.5000  6 Au 2.57
Ga 0.1250 0.7500 0.8750  4 Au 2.52
Ga 0.1250 0.8750 0.2500  4 Au 2.52
Ga 0.2500 0.1250 0.8750  4 Au 2.52
Ga 0.2500 0.6250 0.3750  4 Au 2.52
Ga 0.3750 0.2500 0.6250  4 Au 2.52
Ga 0.3750 0.6250 0.7500  4 Au 2.52
Ga 0.5000 0.0000 0.0000  6 Au 2.57
Ga 0.5000 0.0000 0.5000  6 Au 2.57
Ga 0.5000 0.5000 0.0000  6 Au 2.57
Ga 0.5000 0.5000 0.5000  6 Au 2.57
Ga 0.6250 0.3750 0.2500  4 Au 2.52
Ga 0.6250 0.7500 0.3750  4 Au 2.52
Ga 0.7500 0.3750 0.6250  4 Au 2.52
Ga 0.7500 0.8750 0.1250  4 Au 2.52
Ga 0.8750 0.1250 0.7500  4 Au 2.52
Ga 0.8750 0.2500 0.1250  4 Au 2.52
Pd 0.1250 0.2500 0.3750  8 Au 2.73-2.82
Pd 0.1250 0.3750 0.7500  8 Au 2.73-2.82
Pd 0.2500 0.3750 0.1250  8 Au 2.73-2.82
Pd 0.2500 0.8750 0.6250  8 Au 2.73-2.82
Pd 0.3750 0.1250 0.2500  8 Au 2.73-2.82
Pd 0.3750 0.7500 0.1250  8 Au 2.73-2.82
Pd 0.6250 0.2500 0.8750  8 Au 2.73-2.82
Pd 0.6250 0.8750 0.7500  8 Au 2.73-2.82
Pd 0.7500 0.1250 0.3750  8 Au 2.73-2.82
Pd 0.7500 0.6250 0.8750  8 Au 2.73-2.82
Pd 0.8750 0.6250 0.2500  8 Au 2.73-2.82
Pd 0.8750 0.7500 0.6250  8 Au 2.73-2.82
Au 0.0595 0.2249 0.1376  2 Ga 2.52-2.57, 2 Pd 2.73-2.82
Au 0.0595 0.3347 0.9219  2 Ga 2.52-2.57, 2 Pd 2.73-2.82
Au 0.0781 0.6376 0.4128  2 Ga 2.52-2.57, 2 Pd 2.73-2.82
Au 0.0781 0.9405 0.6653  2 Ga 2.52-2.57, 2 Pd 2.73-2.82
Au 0.0872 0.7249 0.6653  2 Ga 2.52-2.57, 2 Pd 2.73-2.82
Au 0.0872 0.8624 0.4219  2 Ga 2.52-2.57, 2 Pd 2.73-2.82
Au 0.1376 0.0595 0.2249  2 Ga 2.52-2.57, 2 Pd 2.73-2.82
Au 0.1376 0.5781 0.9128  2 Ga 2.52-2.57, 2 Pd 2.73-2.82
Au 0.1653 0.2249 0.5872  2 Ga 2.52-2.57, 2 Pd 2.73-2.82
Au 0.1653 0.4405 0.5781  2 Ga 2.52-2.57, 2 Pd 2.73-2.82
Au 0.2249 0.1376 0.0595  2 Ga 2.52-2.57, 2 Pd 2.73-2.82
Au 0.2249 0.5872 0.1653  2 Ga 2.52-2.57, 2 Pd 2.73-2.82
Au 0.2751 0.3347 0.9128  2 Ga 2.52-2.57, 2 Pd 2.73-2.82
Au 0.2751 0.4405 0.3624  2 Ga 2.52-2.57, 2 Pd 2.73-2.82
Au 0.3347 0.9128 0.2751  2 Ga 2.52-2.57, 2 Pd 2.73-2.82
Au 0.3347 0.9219 0.0595  2 Ga 2.52-2.57, 2 Pd 2.73-2.82
Au 0.3624 0.2751 0.4405  2 Ga 2.52-2.57, 2 Pd 2.73-2.82
Au 0.3624 0.5872 0.9219  2 Ga 2.52-2.57, 2 Pd 2.73-2.82
Au 0.4128 0.0781 0.6376  2 Ga 2.52-2.57, 2 Pd 2.73-2.82
Au 0.4128 0.8347 0.7751  2 Ga 2.52-2.57, 2 Pd 2.73-2.82
Au 0.4219 0.0872 0.8624  2 Ga 2.52-2.57, 2 Pd 2.73-2.82
Au 0.4219 0.8347 0.5595  2 Ga 2.52-2.57, 2 Pd 2.73-2.82
Au 0.4405 0.3624 0.2751  2 Ga 2.52-2.57, 2 Pd 2.73-2.82
Au 0.4405 0.5781 0.1653  2 Ga 2.52-2.57, 2 Pd 2.73-2.82
Au 0.5595 0.4219 0.8347  2 Ga 2.52-2.57, 2 Pd 2.73-2.82
Au 0.5595 0.6376 0.7249  2 Ga 2.52-2.57, 2 Pd 2.73-2.82
Au 0.5781 0.1653 0.4405  2 Ga 2.52-2.57, 2 Pd 2.73-2.82
Au 0.5781 0.9128 0.1376  2 Ga 2.52-2.57, 2 Pd 2.73-2.82
Au 0.5872 0.1653 0.2249  2 Ga 2.52-2.57, 2 Pd 2.73-2.82
Au 0.5872 0.9219 0.3624  2 Ga 2.52-2.57, 2 Pd 2.73-2.82
Au 0.6376 0.4128 0.0781  2 Ga 2.52-2.57, 2 Pd 2.73-2.82
Au 0.6376 0.7249 0.5595  2 Ga 2.52-2.57, 2 Pd 2.73-2.82
Au 0.6653 0.0781 0.9405  2 Ga 2.52-2.57, 2 Pd 2.73-2.82
Au 0.6653 0.0872 0.7249  2 Ga 2.52-2.57, 2 Pd 2.73-2.82
Au 0.7249 0.5595 0.6376  2 Ga 2.52-2.57, 2 Pd 2.73-2.82
Au 0.7249 0.6653 0.0872  2 Ga 2.52-2.57, 2 Pd 2.73-2.82
Au 0.7751 0.4128 0.8347  2 Ga 2.52-2.57, 2 Pd 2.73-2.82
Au 0.7751 0.8624 0.9405  2 Ga 2.52-2.57, 2 Pd 2.73-2.82
Au 0.8347 0.5595 0.4219  2 Ga 2.52-2.57, 2 Pd 2.73-2.82
Au 0.8347 0.7751 0.4128  2 Ga 2.52-2.57, 2 Pd 2.73-2.82
Au 0.8624 0.4219 0.0872  2 Ga 2.52-2.57, 2 Pd 2.73-2.82
Au 0.8624 0.9405 0.7751  2 Ga 2.52-2.57, 2 Pd 2.73-2.82
Au 0.9128 0.1376 0.5781  2 Ga 2.52-2.57, 2 Pd 2.73-2.82
Au 0.9128 0.2751 0.3347  2 Ga 2.52-2.57, 2 Pd 2.73-2.82
Au 0.9219 0.0595 0.3347  2 Ga 2.52-2.57, 2 Pd 2.73-2.82
Au 0.9219 0.3624 0.5872  2 Ga 2.52-2.57, 2 Pd 2.73-2.82
Au 0.9405 0.6653 0.0781  2 Ga 2.52-2.57, 2 Pd 2.73-2.82
Au 0.9405 0.7751 0.8624  2 Ga 2.52-2.57, 2 Pd 2.73-2.82


Entry 6:
Crystalline Ga4Pd3Au2 at its relaxed geometry, computed with PBE-GGA.

Summary:
The calculation puts the formation energy from the elements at -0.391 eV per atom. For the total magnetic moment, the calculation gives 0.0 μB per formula unit.

Cell lengths 5.0229, 5.0229, 10.2676 Å; angles 100.82, 100.82, 36.00 degrees
Last column: nearest neighbours and their distance in Å.
Positions (direct):
Ga 0.0662 0.0662 0.3818  5 Pd 2.62-2.66, 2 Au 2.74
Ga 0.3755 0.3755 0.1445  3 Pd 2.59-2.81, 3 Au 2.66-2.77
Ga 0.6245 0.6245 0.8555  3 Pd 2.59-2.81, 3 Au 2.66-2.77
Ga 0.9338 0.9338 0.6182  5 Pd 2.62-2.66, 2 Au 2.74
Pd 0.0000 0.0000 0.0000  4 Ga 2.59, 4 Au 2.85
Pd 0.3496 0.3496 0.4125  6 Ga 2.62-2.81, 2 Au 2.91
Pd 0.6504 0.6504 0.5875  6 Ga 2.62-2.81, 2 Au 2.91
Au 0.3287 0.3287 0.7962  5 Ga 2.66-2.77, 4 Pd 2.85-2.91
Au 0.6713 0.6713 0.2038  5 Ga 2.66-2.77, 4 Pd 2.85-2.91


Entry 7:
Crystalline Ga2PdAu3 at its relaxed geometry, computed with PBE-GGA.

Summary:
The calculation puts the formation energy from the elements at -0.234 eV per atom. For the total magnetic moment, the calculation gives 0.0 μB per formula unit. The excess energy over the best structure of this formula in the dataset comes out at 0.000 eV per atom.

Cell lengths 6.8486, 6.8486, 9.0644 Å; angles 118.95, 118.95, 33.97 degrees
Last column: nearest neighbours and their distance in Å.
Positions (direct):
Ga 0.0216 0.0216 0.3708  2 Pd 2.60, 3 Au 2.63-2.65, 1 Ga 2.67
Ga 0.2815 0.2815 0.6318  3 Pd 2.64-2.67, 4 Au 2.75-2.81, 2 Ga 2.90
Ga 0.7185 0.7185 0.3682  3 Pd 2.64-2.67, 4 Au 2.75-2.81, 2 Ga 2.90
Ga 0.9784 0.9784 0.6292  2 Pd 2.60, 3 Au 2.63-2.65, 1 Ga 2.67
Pd 0.3694 0.3694 0.4268  5 Ga 2.60-2.67
Pd 0.6306 0.6306 0.5732  5 Ga 2.60-2.67
Au 0.1258 0.1258 0.1269  2 Ga 2.75, 8 Au 2.91-3.04, 1 Pd 2.96
Au 0.2066 0.2066 0.8657  2 Ga 2.65-2.75, 4 Au 2.90-2.95
Au 0.4706 0.4706 0.1557  3 Ga 2.63-2.81
Au 0.5294 0.5294 0.8443  3 Ga 2.63-2.81
Au 0.7934 0.7934 0.1343  2 Ga 2.65-2.75, 4 Au 2.90-2.95
Au 0.8742 0.8742 0.8731  2 Ga 2.75, 8 Au 2.91-3.04, 1 Pd 2.96


Entry 8:
Crystalline GaPd12Au3 at its relaxed geometry, computed with PBE-GGA.

Summary:
The calculation puts the formation energy from the elements at -0.148 eV per atom. For the total magnetic moment, the calculation gives 0.0 μB per formula unit.

Cell lengths 4.0053, 4.0053, 15.7302 Å; angles 90.00, 90.00, 90.00 degrees
Last column: nearest neighbours and their distance in Å.
Positions (direct):
Ga 0.0000 0.0000 0.0000  12 Pd 2.73-2.83
Pd 0.0000 0.5000 0.1177  2 Ga 2.73, 8 Pd 2.73-2.84, 2 Au 2.84
Pd 0.0000 0.5000 0.3729  8 Pd 2.83, 4 Au 2.83
Pd 0.0000 0.5000 0.6271  8 Pd 2.83, 4 Au 2.83
Pd 0.0000 0.5000 0.8823  2 Ga 2.73, 8 Pd 2.73-2.84, 2 Au 2.84
Pd 0.5000 0.0000 0.1177  2 Ga 2.73, 8 Pd 2.73-2.84, 2 Au 2.84
Pd 0.5000 0.0000 0.3729  8 Pd 2.83, 4 Au 2.83
Pd 0.5000 0.0000 0.6271  8 Pd 2.83, 4 Au 2.83
Pd 0.5000 0.0000 0.8823  2 Ga 2.73, 8 Pd 2.73-2.84, 2 Au 2.84
Pd 0.5000 0.5000 0.0000  8 Pd 2.73, 4 Ga 2.83
Pd 0.5000 0.5000 0.2461  8 Pd 2.83-2.84, 4 Au 2.83
Pd 0.5000 0.5000 0.5000  8 Pd 2.83, 4 Au 2.83
Pd 0.5000 0.5000 0.7539  8 Pd 2.83-2.84, 4 Au 2.83
Au 0.0000 0.0000 0.2456  12 Pd 2.83-2.84
Au 0.0000 0.0000 0.5000  12 Pd 2.83
Au 0.0000 0.0000 0.7544  12 Pd 2.83-2.84